No. 1
Here is ScTa2Tl after structural relaxation from Alexandria. Energies are from PBE.

Structure (POSCAR):
```
ScTa2Tl
1.0
2.980 0.000 0.000
0.000 2.980 0.000
0.000 0.000 9.261
Sc Ta Tl
1 2 1
Direct
0.000 0.000 0.000
0.000 0.000 0.481
0.500 0.500 0.244
0.500 0.500 0.735
```

raw total energy: -7.887 eV/atom
magnetic moment: 0.00 μB per formula unit
density: 12.34 g cm⁻³
space group: P4mm


No. 2
Here is ScTa2Tl after structural relaxation from Alexandria. Energies are from PBE.

Structure (POSCAR):
```
ScTa2Tl
1.0
2.980 0.000 0.000
0.000 2.980 0.000
0.000 0.000 9.255
Sc Ta Tl
1 2 1
Direct
0.000 0.000 0.000
0.500 0.500 0.248
0.500 0.500 0.752
0.000 0.000 0.500
```

raw total energy: -7.707 eV/atom
magnetic moment: 0.00 μB per formula unit
density: 12.35 g cm⁻³
space group: P4/mmm


No. 3
Here is ScTaTl2 after structural relaxation from Alexandria. Energies are from PBE.

Structure (POSCAR):
```
ScTaTl2
1.0
3.133 0.000 0.000
0.000 5.076 0.000
-0.310 0.000 5.695
Sc Ta Tl
1 1 2
Direct
0.000 0.000 0.000
0.500 0.000 0.500
0.272 0.500 0.743
0.728 0.500 0.257
```

raw total energy: -5.434 eV/atom
magnetic moment: 0.00 μB per formula unit
density: 11.63 g cm⁻³
space group: P2/m